No. 1
BeMo4Pt at its PBEsol-relaxed geometry, computed with SCAN.

a = 7.183 Å, b = 7.183 Å, c = 7.183 Å
α = 90.00°, β = 90.00°, γ = 90.00°
Space group F-43m (No. 216)
One atom of each set of equivalent atoms:
Be1 0.000 0.000 0.000
Mo1 0.127 0.127 0.627
Pt1 0.250 0.250 0.250

Output
- M_tot (μB/atom) = 0.00
- E_form (eV/atom) = 0.4385
- V (Å³ per atom) = 15.44

***

No. 2
RbBe3Mo at its PBEsol-relaxed geometry, computed with SCAN.

a = 4.327 Å, b = 4.327 Å, c = 4.327 Å
α = 90.00°, β = 90.00°, γ = 90.00°
Space group Pm-3m (No. 221)
One atom of each set of equivalent atoms:
Rb1 0.000 0.000 0.000
Be1 0.000 0.000 0.500
Mo1 0.500 0.500 0.500

Output
- M_tot (μB/atom) = 0.00
- E_form (eV/atom) = 2.9632
- V (Å³ per atom) = 16.21

***

No. 3
RbBe2Mo at its PBEsol-relaxed geometry, computed with SCAN.

a = 6.607 Å, b = 6.607 Å, c = 6.607 Å
α = 90.00°, β = 90.00°, γ = 90.00°
Space group Fm-3m (No. 225)
One atom of each set of equivalent atoms:
Rb1 0.000 0.000 0.000
Be1 0.250 0.250 0.250
Mo1 0.000 0.000 0.500

Output
- M_tot (μB/atom) = 0.61
- E_form (eV/atom) = 1.7238
- V (Å³ per atom) = 18.02

***

No. 4
Rb3BeMo at its PBEsol-relaxed geometry, computed with SCAN.

a = 6.450 Å, b = 6.450 Å, c = 6.450 Å
α = 90.00°, β = 90.00°, γ = 90.00°
Space group Pm-3m (No. 221)
One atom of each set of equivalent atoms:
Rb1 0.000 0.000 0.500
Be1 0.000 0.000 0.000
Mo1 0.500 0.500 0.500

Output
- M_tot (μB/atom) = 1.19
- E_form (eV/atom) = 1.4639
- V (Å³ per atom) = 53.67

***

No. 5
BeReMo2 at its PBEsol-relaxed geometry, computed with SCAN.

a = 3.123 Å, b = 3.123 Å, c = 5.570 Å
α = 90.00°, β = 90.00°, γ = 90.00°
Space group P4/mmm (No. 123)
One atom of each set of equivalent atoms:
Be1 0.000 0.000 0.000
Re1 0.000 0.000 0.500
Mo1 0.500 0.500 0.225

Output
- M_tot (μB/atom) = 0.00
- E_form (eV/atom) = 0.0439
- V (Å³ per atom) = 13.59

***

No. 6
BeReMo2 at its PBEsol-relaxed geometry, computed with SCAN.

a = 3.124 Å, b = 4.314 Å, c = 8.084 Å
α = 90.00°, β = 90.00°, γ = 90.00°
Space group Cmm2 (No. 35)
One atom of each set of equivalent atoms:
Be1 0.000 0.000 0.000
Re1 0.000 0.500 0.224
Mo1 0.000 0.000 0.495
Mo2 0.000 0.500 0.769

Output
- M_tot (μB/atom) = 0.00
- E_form (eV/atom) = 0.0668
- V (Å³ per atom) = 13.62

***

No. 7
Be2ReMo2 at its PBEsol-relaxed geometry, computed with SCAN.

a = 6.150 Å, b = 6.150 Å, c = 3.148 Å
α = 90.00°, β = 90.00°, γ = 90.00°
Space group P4/mbm (No. 127)
One atom of each set of equivalent atoms:
Be1 0.120 0.380 0.000
Re1 0.000 0.000 0.000
Mo1 0.175 0.675 0.500

Output
- M_tot (μB/atom) = 0.00
- E_form (eV/atom) = -0.2513
- V (Å³ per atom) = 11.91

***

No. 8
BeMoRh2 at its PBEsol-relaxed geometry, computed with SCAN.

a = 2.754 Å, b = 2.754 Å, c = 6.482 Å
α = 90.00°, β = 90.00°, γ = 90.00°
Space group P4/mmm (No. 123)
One atom of each set of equivalent atoms:
Be1 0.000 0.000 0.000
Mo1 0.000 0.000 0.500
Rh1 0.500 0.500 0.214

Output
- M_tot (μB/atom) = 0.00
- E_form (eV/atom) = -0.5077
- V (Å³ per atom) = 12.29

***

No. 9
BeMoRh2 at its PBEsol-relaxed geometry, computed with SCAN.

a = 4.312 Å, b = 4.312 Å, c = 2.812 Å
α = 90.00°, β = 90.00°, γ = 90.00°
Space group P4/mmm (No. 123)
One atom of each set of equivalent atoms:
Be1 0.000 0.000 0.000
Mo1 0.500 0.500 0.000
Rh1 0.000 0.500 0.500

Output
- M_tot (μB/atom) = 0.00
- E_form (eV/atom) = -0.1144
- V (Å³ per atom) = 13.07

***

No. 10
Be2MoRh at its PBEsol-relaxed geometry, computed with SCAN.

a = 7.076 Å, b = 2.671 Å, c = 5.008 Å
α = 90.00°, β = 99.66°, γ = 90.00°
Space group C2/m (No. 12)
One atom of each set of equivalent atoms:
Be1 0.243 0.000 0.209
Mo1 0.000 0.000 0.500
Rh1 0.000 0.500 0.000

Output
- M_tot (μB/atom) = 0.00
- E_form (eV/atom) = -0.0918
- V (Å³ per atom) = 11.66

***

No. 11
BeMoRu at its PBEsol-relaxed geometry, computed with SCAN.

a = 2.914 Å, b = 2.914 Å, c = 8.640 Å
α = 90.00°, β = 90.00°, γ = 90.00°
Space group I4mm (No. 107)
One atom of each set of equivalent atoms:
Be1 0.000 0.000 0.000
Mo1 0.000 0.000 0.324
Ru1 0.000 0.000 0.639

Output
- M_tot (μB/atom) = 0.00
- E_form (eV/atom) = -0.1952
- V (Å³ per atom) = 12.23

***

No. 12
Be2Mo2Ru at its PBEsol-relaxed geometry, computed with SCAN.

a = 6.138 Å, b = 6.138 Å, c = 3.105 Å
α = 90.00°, β = 90.00°, γ = 90.00°
Space group P4/mbm (No. 127)
One atom of each set of equivalent atoms:
Be1 0.121 0.379 0.000
Mo1 0.173 0.673 0.500
Ru1 0.000 0.000 0.000

Output
- M_tot (μB/atom) = 0.00
- E_form (eV/atom) = -0.1500
- V (Å³ per atom) = 11.70

***

No. 13
BeMoRu2 at its PBEsol-relaxed geometry, computed with SCAN.

a = 8.222 Å, b = 2.690 Å, c = 4.719 Å
α = 90.00°, β = 97.33°, γ = 90.00°
Space group C2/m (No. 12)
One atom of each set of equivalent atoms:
Be1 0.000 0.000 0.000
Mo1 0.000 0.500 0.500
Ru1 0.245 0.500 0.229

Output
- M_tot (μB/atom) = 0.00
- E_form (eV/atom) = 0.0086
- V (Å³ per atom) = 12.94

***

No. 14
Be2MoRu2 at its PBEsol-relaxed geometry, computed with SCAN.

a = 6.285 Å, b = 6.285 Å, c = 2.866 Å
α = 90.00°, β = 90.00°, γ = 90.00°
Space group P4/mbm (No. 127)
One atom of each set of equivalent atoms:
Be1 0.124 0.376 0.000
Mo1 0.000 0.000 0.000
Ru1 0.168 0.668 0.500

Output
- M_tot (μB/atom) = 0.00
- E_form (eV/atom) = -0.3114
- V (Å³ per atom) = 11.32

***

No. 15
BeMoRu2 at its PBEsol-relaxed geometry, computed with SCAN.

a = 2.910 Å, b = 2.910 Å, c = 5.899 Å
α = 90.00°, β = 90.00°, γ = 90.00°
Space group P4/mmm (No. 123)
One atom of each set of equivalent atoms:
Be1 0.000 0.000 0.000
Mo1 0.000 0.000 0.500
Ru1 0.500 0.500 0.223

Output
- M_tot (μB/atom) = 0.00
- E_form (eV/atom) = -0.2294
- V (Å³ per atom) = 12.49

***

No. 16
Be2SbMo at its PBEsol-relaxed geometry, computed with SCAN.

a = 6.623 Å, b = 6.623 Å, c = 5.338 Å
α = 90.00°, β = 90.00°, γ = 90.00°
Space group I-42d (No. 122)
One atom of each set of equivalent atoms:
Be1 0.245 0.750 0.125
Sb1 0.000 0.000 0.500
Mo1 0.000 0.000 0.000

Output
- M_tot (μB/atom) = 0.00
- E_form (uncorrected) (eV/atom) = 0.7582
- V (Å³ per atom) = 14.64

***

No. 17
BeSbMo2 at its PBEsol-relaxed geometry, computed with SCAN.

a = 8.770 Å, b = 3.179 Å, c = 4.576 Å
α = 90.00°, β = 101.97°, γ = 90.00°
Space group C2/m (No. 12)
One atom of each set of equivalent atoms:
Be1 0.000 0.000 0.000
Sb1 0.000 0.500 0.500
Mo1 0.243 0.500 0.211

Output
- M_tot (μB/atom) = 0.00
- E_form (uncorrected) (eV/atom) = 0.3136
- V (Å³ per atom) = 15.60

***

No. 18
BeSbMo2 at its PBEsol-relaxed geometry, computed with SCAN.

a = 2.898 Å, b = 4.089 Å, c = 5.351 Å
α = 90.00°, β = 102.25°, γ = 90.00°
Space group P2/m (No. 10)
One atom of each set of equivalent atoms:
Be1 0.000 0.000 0.000
Sb1 0.500 0.000 0.500
Mo1 0.261 0.500 0.776

Output
- M_tot (μB/atom) = 0.00
- E_form (uncorrected) (eV/atom) = 0.4213
- V (Å³ per atom) = 15.49

***

No. 19
BeSb2Mo at its PBEsol-relaxed geometry, computed with SCAN.

a = 6.437 Å, b = 6.471 Å, c = 3.376 Å
α = 90.00°, β = 90.00°, γ = 90.00°
Space group Cmmm (No. 65)
One atom of each set of equivalent atoms:
Be1 0.000 0.000 0.000
Sb1 0.250 0.250 0.500
Mo1 0.000 0.500 0.000

Output
- M_tot (μB/atom) = 0.00
- E_form (uncorrected) (eV/atom) = 0.5877
- V (Å³ per atom) = 17.58

***

No. 20
Be2SbMo at its PBEsol-relaxed geometry, computed with SCAN.

a = 3.457 Å, b = 3.988 Å, c = 7.979 Å
α = 90.00°, β = 90.00°, γ = 90.00°
Space group Immm (No. 71)
One atom of each set of equivalent atoms:
Be1 0.000 0.000 0.245
Sb1 0.000 0.500 0.000
Mo1 0.000 0.500 0.500

Output
- M_tot (μB/atom) = 0.00
- E_form (uncorrected) (eV/atom) = 0.3529
- V (Å³ per atom) = 13.75

***

No. 21
BeSb2Mo at its PBEsol-relaxed geometry, computed with SCAN.

a = 4.425 Å, b = 4.425 Å, c = 7.279 Å
α = 90.00°, β = 90.00°, γ = 90.00°
Space group I4/mmm (No. 139)
One atom of each set of equivalent atoms:
Be1 0.000 0.000 0.000
Sb1 0.000 0.500 0.250
Mo1 0.000 0.000 0.500

Output
- M_tot (μB/atom) = 0.25
- E_form (uncorrected) (eV/atom) = 0.6233
- V (Å³ per atom) = 17.82

***

No. 22
Be2SbMo at its PBEsol-relaxed geometry, computed with SCAN.

a = 2.781 Å, b = 2.781 Å, c = 7.859 Å
α = 90.00°, β = 90.00°, γ = 90.00°
Space group P4/mmm (No. 123)
One atom of each set of equivalent atoms:
Be1 0.000 0.000 0.209
Sb1 0.500 0.500 0.500
Mo1 0.500 0.500 0.000

Output
- M_tot (μB/atom) = 0.00
- E_form (uncorrected) (eV/atom) = 0.5770
- V (Å³ per atom) = 15.20

***

No. 23
Be2SbMo at its PBEsol-relaxed geometry, computed with SCAN.

a = 9.430 Å, b = 2.809 Å, c = 4.398 Å
α = 90.00°, β = 95.15°, γ = 90.00°
Space group Cm (No. 8)
One atom of each set of equivalent atoms:
Be1 0.000 0.000 0.000
Be2 0.218 0.000 0.757
Sb1 0.264 0.500 0.276
Mo1 0.007 0.500 0.522

Output
- M_tot (μB/atom) = 0.00
- E_form (uncorrected) (eV/atom) = 0.4878
- V (Å³ per atom) = 14.51

***

No. 24
Be2SbMo at its PBEsol-relaxed geometry, computed with SCAN.

a = 3.495 Å, b = 3.626 Å, c = 4.222 Å
α = 90.00°, β = 90.00°, γ = 90.00°
Space group Pmmm (No. 47)
One atom of each set of equivalent atoms:
Be1 0.000 0.000 0.000
Be2 0.000 0.500 0.500
Sb1 0.500 0.000 0.500
Mo1 0.500 0.500 0.000

Output
- M_tot (μB/atom) = 0.00
- E_form (uncorrected) (eV/atom) = 0.2865
- V (Å³ per atom) = 13.37

***

No. 25
ScBeMo3 at its PBEsol-relaxed geometry, computed with SCAN.

a = 4.496 Å, b = 4.496 Å, c = 4.496 Å
α = 90.00°, β = 90.00°, γ = 90.00°
Space group Pm-3m (No. 221)
One atom of each set of equivalent atoms:
Sc1 0.000 0.000 0.000
Be1 0.500 0.500 0.500
Mo1 0.000 0.000 0.500

Output
- M_tot (μB/atom) = 0.00
- E_form (eV/atom) = 2.3027
- V (Å³ per atom) = 18.18
- distance to the lowest polymorph of the same formula (eV/f.u.) = 8.15

***

No. 26
ScBeMo3 at its PBEsol-relaxed geometry, computed with SCAN.

a = 4.294 Å, b = 4.294 Å, c = 4.294 Å
α = 90.00°, β = 90.00°, γ = 90.00°
Space group Pm-3m (No. 221)
One atom of each set of equivalent atoms:
Sc1 0.000 0.000 0.000
Be1 0.500 0.500 0.500
Mo1 0.000 0.500 0.500

Output
- M_tot (μB/atom) = 0.00
- E_form (eV/atom) = 0.6724
- V (Å³ per atom) = 15.83
- distance to the lowest polymorph of the same formula (eV/f.u.) = 0.00

***

No. 27
ScBeMo at its PBEsol-relaxed geometry, computed with SCAN.

a = 2.720 Å, b = 2.720 Å, c = 11.942 Å
α = 90.00°, β = 90.00°, γ = 90.00°
Space group I4mm (No. 107)
One atom of each set of equivalent atoms:
Sc1 0.000 0.000 0.000
Be1 0.000 0.000 0.663
Mo1 0.000 0.000 0.301

Output
- M_tot (μB/atom) = 0.00
- E_form (eV/atom) = 0.1445
- V (Å³ per atom) = 14.73

***

No. 28
ScBeZn2Mo at its PBEsol-relaxed geometry, computed with SCAN.

a = 4.680 Å, b = 4.680 Å, c = 4.299 Å
α = 90.00°, β = 90.00°, γ = 90.00°
Space group P4/mmm (No. 123)
One atom of each set of equivalent atoms:
Sc1 0.000 0.000 0.000
Be1 0.000 0.000 0.500
Zn1 0.000 0.500 0.000
Mo1 0.500 0.500 0.500

Output
- M_tot (μB/atom) = 0.65
- E_form (eV/atom) = 1.6913
- V (Å³ per atom) = 18.83

***

No. 29
BeMoSe2 at its PBEsol-relaxed geometry, computed with SCAN.

a = 3.173 Å, b = 5.769 Å, c = 7.190 Å
α = 90.00°, β = 90.00°, γ = 90.00°
Space group Cmmm (No. 65)
One atom of each set of equivalent atoms:
Be1 0.000 0.000 0.000
Mo1 0.000 0.000 0.500
Se1 0.000 0.500 0.226

Output
- M_tot (μB/atom) = 0.31
- E_form (uncorrected) (eV/atom) = 0.4293
- V (Å³ per atom) = 16.45